DFT (PBE) results for CuReSi2C after structural relaxation.

The structure belongs to space group P4/mmm (No. 123); the cell edges are 3.980, 3.980 and 3.809 Å and the angles 90.00°, 90.00° and 90.00°. The asymmetric unit holds Cu at (0.000, 0.000, 0.000), Re at (0.500, 0.500, 0.000), Si at (0.000, 0.500, 0.500) and C at (0.000, 0.000, 0.500).

As for the total energy: -6.3890 eV/atom.